1.
A geometry-optimized AlCoSe2 structure, computed with PBE.

```
data_AlCoSe2
_symmetry_space_group_name_H-M 'P 1'
_symmetry_Int_Tables_number 1
_cell_length_a 4.589
_cell_length_b 4.589
_cell_length_c 4.576
_cell_angle_alpha 66.58
_cell_angle_beta 66.58
_cell_angle_gamma 101.71
loop_
_symmetry_equiv_pos_as_xyz
'x,y,z'
loop_
_atom_site_label
_atom_site_type_symbol
_atom_site_fract_x
_atom_site_fract_y
_atom_site_fract_z
Se1 Se 0.000 0.000 0.000
Se2 Se 0.500 0.500 0.000
Al1 Al 0.500 0.000 0.500
Co1 Co 0.000 0.500 0.500
```

## Properties
Uncorrected formation energy, kJ/mol of atoms: 10.1
Calculated total energy, eV per atom: -4.350
D(E_F), states/eV/atom: 0.81

***

2.
A geometry-optimized SnCSeN2 structure, computed with PBE.

```
data_SnCSeN2
_symmetry_space_group_name_H-M 'P 1'
_symmetry_Int_Tables_number 1
_cell_length_a 3.947
_cell_length_b 3.947
_cell_length_c 5.974
_cell_angle_alpha 90.00
_cell_angle_beta 90.00
_cell_angle_gamma 90.00
loop_
_symmetry_equiv_pos_as_xyz
'x,y,z'
loop_
_atom_site_label
_atom_site_type_symbol
_atom_site_fract_x
_atom_site_fract_y
_atom_site_fract_z
Sn1 Sn 0.000 0.000 0.000
N1 N 0.500 0.000 0.000
N2 N 0.000 0.500 0.000
Se1 Se 0.000 0.000 0.500
C1 C 0.500 0.500 0.500
```

## Properties
Uncorrected formation energy, kJ/mol of atoms: 251.3
Calculated total energy, eV per atom: -4.068
D(E_F), states/eV/atom: 1.24

***

3.
A geometry-optimized KBeGa2 structure, computed with PBE.

```
data_KBeGa2
_symmetry_space_group_name_H-M 'P 1'
_symmetry_Int_Tables_number 1
_cell_length_a 7.955
_cell_length_b 3.993
_cell_length_c 11.552
_cell_angle_alpha 90.00
_cell_angle_beta 106.44
_cell_angle_gamma 90.00
loop_
_symmetry_equiv_pos_as_xyz
'x,y,z'
loop_
_atom_site_label
_atom_site_type_symbol
_atom_site_fract_x
_atom_site_fract_y
_atom_site_fract_z
Be1 Be 0.377 0.500 0.228
Be2 Be 0.414 0.000 0.139
Be3 Be 0.414 0.500 0.639
Be4 Be 0.377 0.000 0.728
K1 K 0.795 0.500 0.406
K2 K 0.999 0.500 0.706
K3 K 0.999 0.000 0.206
K4 K 0.795 0.000 0.906
Ga1 Ga 0.295 0.500 0.420
Ga2 Ga 0.453 0.500 0.844
Ga3 Ga 0.577 0.500 0.084
Ga4 Ga 0.184 0.000 0.530
Ga5 Ga 0.184 0.500 0.030
Ga6 Ga 0.453 0.000 0.344
Ga7 Ga 0.295 0.000 0.920
Ga8 Ga 0.577 0.000 0.584
```

## Properties
Calculated total energy, eV per atom: -2.686
ΔE_f, eV per atom: 0.0334
D(E_F), states/eV/atom: 0.18

***

4.
A geometry-optimized BaMg2Cl structure, computed with PBE.

```
data_BaMg2Cl
_symmetry_space_group_name_H-M 'P 1'
_symmetry_Int_Tables_number 1
_cell_length_a 9.641
_cell_length_b 9.641
_cell_length_c 7.464
_cell_angle_alpha 49.77
_cell_angle_beta 49.77
_cell_angle_gamma 90.00
loop_
_symmetry_equiv_pos_as_xyz
'x,y,z'
loop_
_atom_site_label
_atom_site_type_symbol
_atom_site_fract_x
_atom_site_fract_y
_atom_site_fract_z
Mg1 Mg 0.375 0.420 0.750
Mg2 Mg 0.580 0.125 0.250
Mg3 Mg 0.875 0.830 0.750
Mg4 Mg 0.170 0.625 0.250
Ba1 Ba 0.750 0.250 0.500
Ba2 Ba 0.000 0.000 0.000
Cl1 Cl 0.250 0.750 0.500
Cl2 Cl 0.500 0.500 0.000
```

## Properties
Uncorrected formation energy, kJ/mol of atoms: -50.0
Calculated total energy, eV per atom: -2.258
D(E_F), states/eV/atom: 0.70

***

5.
A geometry-optimized Dy6Tc2Pb structure, computed with PBE.

```
data_Dy6Tc2Pb
_symmetry_space_group_name_H-M 'P 1'
_symmetry_Int_Tables_number 1
_cell_length_a 8.577
_cell_length_b 8.577
_cell_length_c 8.577
_cell_angle_alpha 104.68
_cell_angle_beta 111.84
_cell_angle_gamma 111.99
loop_
_symmetry_equiv_pos_as_xyz
'x,y,z'
loop_
_atom_site_label
_atom_site_type_symbol
_atom_site_fract_x
_atom_site_fract_y
_atom_site_fract_z
Dy1 Dy 0.525 0.716 0.809
Dy2 Dy 0.781 0.238 0.019
Dy3 Dy 0.907 0.716 0.191
Dy4 Dy 0.299 0.618 0.319
Dy5 Dy 0.781 0.762 0.544
Dy6 Dy 0.219 0.238 0.456
Dy7 Dy 0.093 0.284 0.809
Dy8 Dy 0.219 0.762 0.981
Dy9 Dy 0.475 0.284 0.191
Dy10 Dy 0.701 0.020 0.319
Dy11 Dy 0.701 0.382 0.681
Dy12 Dy 0.299 0.980 0.681
Tc1 Tc 0.369 0.000 0.369
Tc2 Tc 0.631 0.000 0.631
Tc3 Tc 0.500 0.385 0.885
Tc4 Tc 0.500 0.615 0.115
Pb1 Pb 0.000 0.500 0.500
Pb2 Pb 0.000 0.000 0.000
```

## Properties
Calculated total energy, eV per atom: -5.986
ΔE_f, eV per atom: -0.2024
D(E_F), states/eV/atom: 1.05

***

6.
A geometry-optimized RbMgMn3 structure, computed with PBE.

```
data_RbMgMn3
_symmetry_space_group_name_H-M 'P 1'
_symmetry_Int_Tables_number 1
_cell_length_a 5.130
_cell_length_b 5.130
_cell_length_c 5.130
_cell_angle_alpha 90.00
_cell_angle_beta 90.00
_cell_angle_gamma 90.00
loop_
_symmetry_equiv_pos_as_xyz
'x,y,z'
loop_
_atom_site_label
_atom_site_type_symbol
_atom_site_fract_x
_atom_site_fract_y
_atom_site_fract_z
Mn1 Mn 0.000 0.500 0.000
Mn2 Mn 0.500 0.000 0.000
Mn3 Mn 0.000 0.000 0.500
Rb1 Rb 0.000 0.000 0.000
Mg1 Mg 0.500 0.500 0.500
```

## Properties
Calculated total energy, eV per atom: -3.888
ΔE_f, eV per atom: 2.1261
D(E_F), states/eV/atom: 0.65

***

7.
A geometry-optimized CsRb2NaAs structure, computed with PBE.

```
data_CsRb2NaAs
_symmetry_space_group_name_H-M 'P 1'
_symmetry_Int_Tables_number 1
_cell_length_a 7.036
_cell_length_b 7.036
_cell_length_c 5.820
_cell_angle_alpha 90.00
_cell_angle_beta 90.00
_cell_angle_gamma 90.00
loop_
_symmetry_equiv_pos_as_xyz
'x,y,z'
loop_
_atom_site_label
_atom_site_type_symbol
_atom_site_fract_x
_atom_site_fract_y
_atom_site_fract_z
Cs1 Cs 0.500 0.500 0.500
Rb1 Rb 0.000 0.500 0.000
Rb2 Rb 0.500 0.000 0.000
As1 As 0.000 0.000 0.000
Na1 Na 0.000 0.000 0.500
```

## Properties
Calculated total energy, eV per atom: -1.891
ΔE_f, eV per atom: -0.1394
D(E_F), states/eV/atom: 0.54

***

8.
A geometry-optimized KFe2Cu structure, computed with PBE.

```
data_KFe2Cu
_symmetry_space_group_name_H-M 'P 1'
_symmetry_Int_Tables_number 1
_cell_length_a 6.030
_cell_length_b 6.030
_cell_length_c 6.030
_cell_angle_alpha 155.40
_cell_angle_beta 129.70
_cell_angle_gamma 56.77
loop_
_symmetry_equiv_pos_as_xyz
'x,y,z'
loop_
_atom_site_label
_atom_site_type_symbol
_atom_site_fract_x
_atom_site_fract_y
_atom_site_fract_z
Fe1 Fe 0.540 0.540 0.000
Fe2 Fe 0.960 0.960 0.000
Cu1 Cu 0.750 0.250 0.500
K1 K 0.250 0.750 0.500
```

## Properties
Calculated total energy, eV per atom: -4.662
ΔE_f, eV per atom: 0.8681
D(E_F), states/eV/atom: 1.23

***

9.
A geometry-optimized TlSn2Pd7 structure, computed with PBE.

```
data_TlSn2Pd7
_symmetry_space_group_name_H-M 'P 1'
_symmetry_Int_Tables_number 1
_cell_length_a 4.109
_cell_length_b 4.109
_cell_length_c 11.415
_cell_angle_alpha 100.37
_cell_angle_beta 100.37
_cell_angle_gamma 90.00
loop_
_symmetry_equiv_pos_as_xyz
'x,y,z'
loop_
_atom_site_label
_atom_site_type_symbol
_atom_site_fract_x
_atom_site_fract_y
_atom_site_fract_z
Tl1 Tl 0.000 0.000 0.000
Pd1 Pd 0.592 0.092 0.185
Pd2 Pd 0.408 0.908 0.815
Pd3 Pd 0.500 0.500 0.000
Pd4 Pd 0.250 0.750 0.500
Pd5 Pd 0.092 0.592 0.185
Pd6 Pd 0.908 0.408 0.815
Pd7 Pd 0.750 0.250 0.500
Sn1 Sn 0.670 0.670 0.341
Sn2 Sn 0.330 0.330 0.659
```

## Properties
Calculated total energy, eV per atom: -5.016
ΔE_f, eV per atom: -0.3442
D(E_F), states/eV/atom: 0.30

***

10.
A geometry-optimized CeMgSn structure, computed with PBE.

```
data_CeMgSn
_symmetry_space_group_name_H-M 'P 1'
_symmetry_Int_Tables_number 1
_cell_length_a 4.642
_cell_length_b 7.710
_cell_length_c 9.072
_cell_angle_alpha 90.00
_cell_angle_beta 90.00
_cell_angle_gamma 90.00
loop_
_symmetry_equiv_pos_as_xyz
'x,y,z'
loop_
_atom_site_label
_atom_site_type_symbol
_atom_site_fract_x
_atom_site_fract_y
_atom_site_fract_z
Mg1 Mg 0.250 0.658 0.568
Mg2 Mg 0.750 0.842 0.068
Mg3 Mg 0.750 0.342 0.432
Mg4 Mg 0.250 0.158 0.932
Sn1 Sn 0.750 0.727 0.386
Sn2 Sn 0.250 0.273 0.614
Sn3 Sn 0.250 0.773 0.886
Sn4 Sn 0.750 0.227 0.114
Ce1 Ce 0.250 0.019 0.319
Ce2 Ce 0.750 0.481 0.819
Ce3 Ce 0.750 0.981 0.681
Ce4 Ce 0.250 0.519 0.181
```

## Properties
Calculated total energy, eV per atom: -4.298
ΔE_f, eV per atom: -0.4547
D(E_F), states/eV/atom: 2.52

***

11.
A geometry-optimized CsRbAs2Se structure, computed with PBE.

```
data_CsRbAs2Se
_symmetry_space_group_name_H-M 'P 1'
_symmetry_Int_Tables_number 1
_cell_length_a 6.173
_cell_length_b 6.173
_cell_length_c 6.299
_cell_angle_alpha 90.00
_cell_angle_beta 90.00
_cell_angle_gamma 90.00
loop_
_symmetry_equiv_pos_as_xyz
'x,y,z'
loop_
_atom_site_label
_atom_site_type_symbol
_atom_site_fract_x
_atom_site_fract_y
_atom_site_fract_z
As1 As 0.500 0.000 0.000
As2 As 0.000 0.500 0.000
Cs1 Cs 0.000 0.000 0.000
Rb1 Rb 0.500 0.500 0.500
Se1 Se 0.000 0.000 0.500
```

## Properties
Uncorrected formation energy, kJ/mol of atoms: 73.2
Calculated total energy, eV per atom: -2.163
D(E_F), states/eV/atom: 0.76